# PBE-GGA LiCuNiPb, relaxed
data_LiCuNiPb
_chemical_formula_sum 'Li4 Cu4 Ni4 Pb4'
_cell_length_a 6.2051
_cell_length_b 6.2051
_cell_length_c 6.2051
_cell_angle_alpha 90.00
_cell_angle_beta 90.00
_cell_angle_gamma 90.00
_space_group_name_H-M_alt 'F -4 3 m'
_space_group_IT_number 216
_space_group_name_Hall 'F -4 2 3'
loop_
_atom_site_label
_atom_site_fract_x
_atom_site_fract_y
_atom_site_fract_z
Li1 0.0000 0.0000 0.0000
Cu1 0.2500 0.2500 0.7500
Ni1 0.0000 0.0000 0.5000
Pb1 0.2500 0.2500 0.2500
# VASP energy, eV per atom: -3.8930
# Calculated formation energy, eV per atom: -0.018